Entry 1:
# SrCuAs2

Crystalline SrCuAs2 at its relaxed geometry (GGA-PBE, Alexandria via LeMat-Bulk).

As for the crystal system: tetragonal. The raw total energy comes out at -15.6 eV/f.u. The value obtained for the spin magnetization is 0.0 μB/cell. As for the density of states at the Fermi level: 1.734 states/eV/cell.

The structure belongs to space group P4mm (No. 99); the cell edges are 3.638, 3.638 and 6.572 Å and the angles 90.00°, 90.00° and 90.00°. The distinct sites, in fractional coordinates, are Sr at (0.000, 0.000, 0.000), Cu at (0.500, 0.500, 0.660), As at (0.000, 0.000, 0.515) and As at (0.500, 0.500, 0.294).



Entry 2:
# SrCuAs

Crystalline SrCuAs at its relaxed geometry (GGA-PBE, Alexandria via LeMat-Bulk).

As for the crystal system: monoclinic. The raw total energy comes out at -12.5 eV/f.u. The value obtained for the spin magnetization is 0.0 μB/cell. As for the density of states at the Fermi level: 0.309 states/eV/cell.

The structure belongs to space group P2_1 (No. 4); the cell edges are 5.064, 4.234 and 6.912 Å and the angles 90.00°, 98.09° and 90.00°. The distinct sites, in fractional coordinates, are Sr at (0.205, 0.000, 0.298), Cu at (0.367, 0.502, 0.951) and As at (0.271, 0.001, 0.764).



Entry 3:
# Sr3CuAs3

Crystalline Sr3CuAs3 at its relaxed geometry (GGA-PBE, Alexandria via LeMat-Bulk).

As for the crystal system: orthorhombic. The raw total energy comes out at -29.1 eV/f.u. The value obtained for the spin magnetization is 0.0 μB/cell. As for the density of states at the Fermi level: 38.376 states/eV/cell.

The structure belongs to space group Cmce (No. 64); the cell edges are 19.085, 6.490 and 12.795 Å and the angles 90.00°, 90.00° and 90.00°. The distinct sites, in fractional coordinates, are Sr at (0.000, 0.189, 0.145), Sr at (0.174, 0.202, 0.870), Cu at (0.082, 0.000, 0.500), As at (0.000, 0.204, 0.394) and As at (0.159, 0.203, 0.617).



Entry 4:
# SrCu2As2

Crystalline SrCu2As2 at its relaxed geometry (GGA-PBE, Alexandria via LeMat-Bulk).

As for the crystal system: tetragonal. The raw total energy comes out at -21.8 eV/f.u. The value obtained for the spin magnetization is 0.0 μB/cell. As for the density of states at the Fermi level: 3.586 states/eV/cell.

The structure belongs to space group I4/mmm (No. 139); the cell edges are 4.205, 4.205 and 10.988 Å and the angles 90.00°, 90.00° and 90.00°. The distinct sites, in fractional coordinates, are Sr at (0.000, 0.000, 0.000), Cu at (0.000, 0.500, 0.250) and As at (0.000, 0.000, 0.372).



Entry 5:
# SrCu3As3

Crystalline SrCu3As3 at its relaxed geometry (GGA-PBE, Alexandria via LeMat-Bulk).

As for the crystal system: cubic. The raw total energy comes out at -29.6 eV/f.u. The value obtained for the spin magnetization is 0.0 μB/cell. As for the density of states at the Fermi level: 8.813 states/eV/cell.

The structure belongs to space group Pm-3n (No. 223); the cell edges are 6.691, 6.691 and 6.691 Å and the angles 90.00°, 90.00° and 90.00°. The distinct sites, in fractional coordinates, are Sr at (0.000, 0.000, 0.000), Cu at (0.000, 0.250, 0.500) and As at (0.000, 0.500, 0.250).



Entry 6:
# SrCuAs

Crystalline SrCuAs at its relaxed geometry (GGA-PBE, Alexandria via LeMat-Bulk).

As for the crystal system: hexagonal. The raw total energy comes out at -7.8 eV/f.u. The value obtained for the spin magnetization is 4.0 μB/cell. As for the density of states at the Fermi level: 2.121 states/eV/cell.

The structure belongs to space group P6_3/mmc (No. 194); the cell edges are 5.2944, 5.2944 and 12.3038 Å and the angles 90.00°, 90.00° and 120.00°. The distinct sites, in fractional coordinates, are Sr at (0.0000, 0.0000, 0.2500), Cu at (0.3333, 0.6667, 0.2500) and As at (0.0000, 0.0000, 0.0000).



Entry 7:
# SrCuAs

Crystalline SrCuAs at its relaxed geometry (GGA-PBE, Alexandria via LeMat-Bulk).

As for the crystal system: hexagonal. The raw total energy comes out at -12.8 eV/f.u. The value obtained for the spin magnetization is 0.0 μB/cell. As for the density of states at the Fermi level: 0.499 states/eV/cell.

The structure belongs to space group P-6m2 (No. 187); the cell edges are 4.2434, 4.2434 and 4.4144 Å and the angles 90.00°, 90.00° and 120.00°. The distinct sites, in fractional coordinates, are Sr at (0.0000, 0.0000, 0.0000), Cu at (0.3333, 0.6667, 0.5000) and As at (0.6667, 0.3333, 0.5000).



Entry 8:
# SrCuAs

Crystalline SrCuAs at its relaxed geometry (GGA-PBE, Alexandria via LeMat-Bulk).

As for the crystal system: orthorhombic. The raw total energy comes out at -12.3 eV/f.u. The value obtained for the spin magnetization is 0.0 μB/cell. As for the density of states at the Fermi level: 1.292 states/eV/cell.

The structure belongs to space group Pmmm (No. 47); the cell edges are 4.240, 4.402 and 7.516 Å and the angles 90.00°, 90.00° and 90.00°. The distinct sites, in fractional coordinates, are Sr at (0.000, 0.000, 0.000), Sr at (0.500, 0.000, 0.500), Cu at (0.000, 0.500, 0.334) and As at (0.500, 0.500, 0.179).



Entry 9:
# SrCuAs

Crystalline SrCuAs at its relaxed geometry (GGA-PBE, Alexandria via LeMat-Bulk).

As for the crystal system: hexagonal. The raw total energy comes out at -11.1 eV/f.u. The value obtained for the spin magnetization is 0.0 μB/cell. As for the density of states at the Fermi level: 0.236 states/eV/cell.

The structure belongs to space group P6_3/mmc (No. 194); the cell edges are 5.1556, 5.1556 and 6.1506 Å and the angles 90.00°, 90.00° and 120.00°. The distinct sites, in fractional coordinates, are Sr at (0.3333, 0.6667, 0.2500), Cu at (0.0000, 0.0000, 0.0000) and As at (0.3333, 0.6667, 0.7500).



Entry 10:
# SrCuAs2

Crystalline SrCuAs2 at its relaxed geometry (GGA-PBE, Alexandria via LeMat-Bulk).

As for the crystal system: tetragonal. The raw total energy comes out at -16.9 eV/f.u. The value obtained for the spin magnetization is 0.0 μB/cell. As for the density of states at the Fermi level: 3.588 states/eV/cell.

The structure belongs to space group I-42d (No. 122); the cell edges are 5.030, 5.030 and 16.100 Å and the angles 90.00°, 90.00° and 90.00°. The distinct sites, in fractional coordinates, are Sr at (0.000, 0.000, 0.000), Cu at (0.000, 0.000, 0.500) and As at (0.097, 0.250, 0.625).



Entry 11:
# Sr2Cu2As

Crystalline Sr2Cu2As at its relaxed geometry (GGA-PBE, Alexandria via LeMat-Bulk).

As for the crystal system: tetragonal. The excess energy over the best structure of this formula in the dataset comes out at 0.0147 eV per atom. The raw total energy comes out at -17.7 eV/f.u. The value obtained for the spin magnetization is 0.0 μB/cell. As for the density of states at the Fermi level: 3.938 states/eV/cell.

The structure belongs to space group P4/mbm (No. 127); the cell edges are 7.384, 7.384 and 4.398 Å and the angles 90.00°, 90.00° and 90.00°. The distinct sites, in fractional coordinates, are Sr at (0.190, 0.310, 0.000), Cu at (0.113, 0.613, 0.500) and As at (0.000, 0.000, 0.500).



Entry 12:
# Sr4CuAs

Crystalline Sr4CuAs at its relaxed geometry (GGA-PBE, Alexandria via LeMat-Bulk).

As for the crystal system: cubic. The raw total energy comes out at -12.0 eV/f.u. The value obtained for the spin magnetization is 0.0 μB/cell. As for the density of states at the Fermi level: 30.511 states/eV/cell.

The structure belongs to space group F-43m (No. 216); the cell edges are 9.775, 9.775 and 9.775 Å and the angles 90.00°, 90.00° and 90.00°. The distinct sites, in fractional coordinates, are Sr at (0.124, 0.124, 0.124), Cu at (0.000, 0.000, 0.500) and As at (0.250, 0.250, 0.750).